1.
First-principles (PBE-GGA) data for crystalline Fe2SiRu at its relaxed geometry, as listed in the Alexandria database.

Results
Magnetization ... 4.8 μB/f.u.
Raw formation energy ... -0.1719 eV/atom
Density of states at the Fermi level ... 3.838 states/eV/cell
V ... 12.318 A^3/atom
VASP energy ... -8.0780 eV per atom

a = 4.5120 Å, b = 4.5120 Å, c = 4.2559 Å
α = 71.18°, β = 71.18°, γ = 37.22°
Each line ends with the local moment (μB).
Fractional positions:
Fe 0.0059 0.0059 0.0276  2.28
Fe 0.2589 0.2589 0.2072  2.27
Ru 0.4900 0.4900 0.5415  0.34
Si 0.7451 0.7451 0.7238  -0.05

***

2.
First-principles (PBE-GGA) data for crystalline Fe2SiRu at its relaxed geometry, as listed in the Alexandria database.

Results
Magnetization ... 4.4 μB/f.u.
Raw formation energy ... -0.2654 eV/atom
Density of states at the Fermi level ... 3.781 states/eV/cell
V ... 12.061 A^3/atom
VASP energy ... -8.1715 eV per atom

a = 2.9173 Å, b = 2.9173 Å, c = 5.6689 Å
α = 90.00°, β = 90.00°, γ = 90.00°
Each line ends with the local moment (μB).
Fractional positions:
Ru 0.0000 0.0000 0.5134  0.18
Si 0.5000 0.5000 0.7618  -0.03
Fe 0.0000 0.0000 0.9960  1.59
Fe 0.5000 0.5000 0.2287  2.73

***

3.
First-principles (PBE-GGA) data for crystalline Fe2SiRu at its relaxed geometry, as listed in the Alexandria database.

Results
Magnetization ... 4.2 μB/f.u.
Raw formation energy ... -0.2684 eV/atom
Density of states at the Fermi level ... 3.370 states/eV/cell
V ... 12.078 A^3/atom
VASP energy ... -8.1745 eV per atom

a = 2.9103 Å, b = 3.9988 Å, c = 4.1513 Å
α = 90.00°, β = 90.00°, γ = 90.00°
Each line ends with the local moment (μB).
Fractional positions:
Ru 0.5000 0.0000 0.5000  0.13
Si 0.0000 0.5000 0.5000  -0.04
Fe 0.0000 0.0000 0.0000  2.58
Fe 0.5000 0.5000 0.0000  1.64

***

4.
First-principles (PBE-GGA) data for crystalline Fe4SiRu at its relaxed geometry, as listed in the Alexandria database.

Results
Magnetization ... 8.7 μB/f.u.
Raw formation energy ... 0.1231 eV/atom
Density of states at the Fermi level ... 7.261 states/eV/cell
V ... 12.068 A^3/atom
VASP energy ... -7.9686 eV per atom

a = 4.6785 Å, b = 4.6785 Å, c = 4.6785 Å
α = 60.00°, β = 60.00°, γ = 60.00°
Each line ends with the local moment (μB).
Fractional positions:
Fe 0.3751 0.8748 0.3751  1.98
Fe 0.8748 0.3751 0.3751  1.98
Fe 0.3751 0.3751 0.8748  1.98
Fe 0.3751 0.3751 0.3751  1.98
Si 0.0000 0.0000 0.0000  -0.05
Ru 0.7500 0.7500 0.7500  0.75

***

5.
First-principles (PBE-GGA) data for crystalline Fe2SiRu at its relaxed geometry, as listed in the Alexandria database.

Results
Magnetization ... 4.8 μB/f.u.
Raw formation energy ... -0.1945 eV/atom
Density of states at the Fermi level ... 3.766 states/eV/cell
V ... 12.316 A^3/atom
VASP energy ... -8.1006 eV per atom

a = 3.5433 Å, b = 3.5433 Å, c = 3.9238 Å
α = 90.00°, β = 90.00°, γ = 90.00°
Each line ends with the local moment (μB).
Fractional positions:
Fe 0.0000 0.0000 0.0000  2.33
Fe 0.5000 0.5000 0.0000  2.33
Ru 0.5000 0.0000 0.5000  0.22
Si 0.0000 0.5000 0.5000  -0.06

***

6.
First-principles (PBE-GGA) data for crystalline Fe2SiRu at its relaxed geometry, as listed in the Alexandria database.

Results
Magnetization ... 4.0 μB/f.u.
Raw formation energy ... -0.1425 eV/atom
Density of states at the Fermi level ... 3.930 states/eV/cell
V ... 12.332 A^3/atom
VASP energy ... -8.0485 eV per atom

a = 3.6837 Å, b = 2.7419 Å, c = 5.0730 Å
α = 74.31°, β = 90.00°, γ = 90.00°
Each line ends with the local moment (μB).
Fractional positions:
Fe 0.0000 0.8036 0.0180  1.36
Fe 0.5000 0.2058 0.2142  2.58
Ru 0.0000 0.5439 0.5370  0.09
Si 0.5000 0.9468 0.7308  -0.04

***

7.
First-principles (PBE-GGA) data for crystalline FeSiRu3 at its relaxed geometry, as listed in the Alexandria database.

Results
Magnetization ... 0.4 μB/f.u.
E above lowest polymorph ... 0.00 eV/f.u.
Raw formation energy ... 1.1213 eV/atom
Density of states at the Fermi level ... 11.441 states/eV/cell
V ... 16.008 A^3/atom
VASP energy ... -7.2214 eV per atom

a = 4.3096 Å, b = 4.3096 Å, c = 4.3096 Å
α = 90.00°, β = 90.00°, γ = 90.00°
Each line ends with the local moment (μB).
Fractional positions:
Ru 0.0000 0.5000 0.0000  -0.15
Ru 0.0000 0.0000 0.5000  -0.19
Ru 0.5000 0.0000 0.0000  -0.07
Si 0.0000 0.0000 0.0000  0.00
Fe 0.5000 0.5000 0.5000  -0.02

***

8.
First-principles (PBE-GGA) data for crystalline FeSi3Ru at its relaxed geometry, as listed in the Alexandria database.

Results
Magnetization ... 0.9 μB/f.u.
E above lowest polymorph ... 0.00 eV/f.u.
Raw formation energy ... 0.6237 eV/atom
Density of states at the Fermi level ... 6.124 states/eV/cell
V ... 15.195 A^3/atom
VASP energy ... -6.1778 eV per atom

a = 4.2353 Å, b = 4.2353 Å, c = 4.2353 Å
α = 90.00°, β = 90.00°, γ = 90.00°
Each line ends with the local moment (μB).
Fractional positions:
Ru 0.5000 0.5000 0.5000  0.93
Si 0.0000 0.5000 0.0000  0.01
Si 0.0000 0.0000 0.5000  0.04
Si 0.5000 0.0000 0.0000  0.00
Fe 0.0000 0.0000 0.0000  -0.09